[1]
Mo2ICl | PBE | relaxed

Cell lengths 4.6124, 4.6124, 4.6124 Å; angles 60.00, 60.00, 60.00 degrees
Positions (direct):
Mo  0.2500  0.2500  0.2500
Mo  0.7500  0.7500  0.7500
I  0.0000  0.0000  0.0000
Cl  0.5000  0.5000  0.5000

N(E_F) = 4.5 states/eV/f.u.
Crystal system = cubic
Total DFT energy (no corrections) = -5.264 eV per atom
Magnetization = 0.000 μB per formula unit
Formation energy (no corrections) = 1.000 eV per atom

***

[2]
Mo2ICl | PBE | relaxed

Cell lengths 8.9050, 8.9050, 8.9050 Å; angles 150.86, 150.86, 41.68 degrees
Positions (direct):
Mo  0.0349  0.6250  0.9099
Mo  0.3750  0.2849  0.4099
Mo  0.7151  0.1250  0.0901
Mo  0.8750  0.9651  0.5901
I  0.2500  0.7500  0.5000
I  0.5000  0.5000  0.0000
Cl  0.0000  0.0000  0.0000
Cl  0.7500  0.2500  0.5000

N(E_F) = 3.1 states/eV/f.u.
Crystal system = tetragonal
Total DFT energy (no corrections) = -5.562 eV per atom
Magnetization = 0.000 μB per formula unit
Formation energy (no corrections) = 0.703 eV per atom

***

[3]
MoI3Cl | PBE | relaxed

Cell lengths 5.4537, 5.4537, 5.4537 Å; angles 90.00, 90.00, 90.00 degrees
Positions (direct):
Mo  0.0000  0.0000  0.0000
I  0.0000  0.0000  0.5000
I  0.0000  0.5000  0.0000
I  0.5000  0.0000  0.0000
Cl  0.5000  0.5000  0.5000

N(E_F) = 4.8 states/eV/f.u.
Crystal system = cubic
Total DFT energy (no corrections) = -3.220 eV per atom
Magnetization = 1.097 μB per formula unit
Formation energy (no corrections) = 0.246 eV per atom

***

[4]
MoICl3 | PBE | relaxed

Cell lengths 5.5656, 5.5656, 5.5656 Å; angles 90.00, 90.00, 90.00 degrees
Positions (direct):
Mo  0.0000  0.0000  0.0000
I  0.5000  0.5000  0.5000
Cl  0.0000  0.5000  0.5000
Cl  0.5000  0.0000  0.5000
Cl  0.5000  0.5000  0.0000

N(E_F) = 1.8 states/eV/f.u.
Crystal system = cubic
Total DFT energy (no corrections) = -2.711 eV per atom
Magnetization = 5.071 μB per formula unit
Formation energy (no corrections) = 0.873 eV per atom

***

[5]
MoICl3 | PBE | relaxed

Cell lengths 9.0419, 9.0419, 6.2573 Å; angles 103.56, 103.56, 128.61 degrees
Positions (direct):
Mo  0.0655  0.9345  0.5000
Mo  0.9345  0.0655  0.0000
I  0.5704  0.9217  0.9767
I  0.9217  0.5704  0.4767
Cl  0.0765  0.3875  0.0217
Cl  0.1448  0.2489  0.4631
Cl  0.2489  0.1448  0.9631
Cl  0.3875  0.0765  0.5217
Cl  0.7539  0.8536  0.5372
Cl  0.8536  0.7539  0.0372

N(E_F) = 4.0 states/eV/f.u.
Crystal system = monoclinic
Total DFT energy (no corrections) = -4.227 eV per atom
Magnetization = 2.000 μB per formula unit
Formation energy (no corrections) = -0.643 eV per atom

***

[6]
MoICl2 | PBE | relaxed

Cell lengths 7.0761, 7.0761, 7.0761 Å; angles 118.79, 118.79, 92.11 degrees
Positions (direct):
Mo  0.0000  0.0000  0.0000
Mo  0.7500  0.2500  0.5000
I  0.2500  0.7500  0.5000
I  0.5000  0.5000  0.0000
Cl  0.3750  0.2193  0.3443
Cl  0.7807  0.1250  0.1557
Cl  0.8750  0.0307  0.6557
Cl  0.9693  0.6250  0.8443

N(E_F) = 4.1 states/eV/f.u.
Crystal system = tetragonal
Total DFT energy (no corrections) = -3.890 eV per atom
Magnetization = 0.000 μB per formula unit
Formation energy (no corrections) = 0.128 eV per atom

***

[7]
MoICl | PBE | relaxed

Cell lengths 4.1062, 7.1473, 7.3513 Å; angles 92.33, 91.41, 92.68 degrees
Positions (direct):
Mo  0.1807  0.4055  0.0550
Mo  0.8193  0.5945  0.9450
I  0.4989  0.3164  0.7481
I  0.5011  0.6836  0.2519
Cl  0.0553  0.7871  0.7307
Cl  0.9447  0.2129  0.2693

Crystal system = triclinic
Total DFT energy (no corrections) = -5.077 eV per atom
Magnetization = 0.000 μB per formula unit
Formation energy (no corrections) = -0.335 eV per atom

***

[8]
MoICl | PBE | relaxed

Cell lengths 6.4990, 6.4990, 6.6003 Å; angles 90.00, 90.00, 120.00 degrees
Positions (direct):
Mo  0.0103  0.1403  0.0000
Mo  0.1300  0.9897  0.3333
Mo  0.8597  0.8700  0.6667
I  0.0412  0.7017  0.9840
I  0.2983  0.3395  0.6507
I  0.6605  0.9588  0.3174
Cl  0.3978  0.3423  0.1514
Cl  0.6577  0.0556  0.8181
Cl  0.9444  0.6022  0.4848

N(E_F) = 2.0 states/eV/f.u.
Crystal system = trigonal
Total DFT energy (no corrections) = -4.847 eV per atom
Magnetization = 0.000 μB per formula unit
Formation energy (no corrections) = -0.104 eV per atom

***

[9]
MoIN2Cl | PBE | relaxed

Cell lengths 3.8610, 3.8610, 5.7950 Å; angles 90.00, 90.00, 90.00 degrees
Positions (direct):
Mo  0.0000  0.0000  0.0000
I  0.5000  0.5000  0.0000
N  0.0000  0.5000  0.5000
N  0.5000  0.0000  0.5000
Cl  0.5000  0.5000  0.5000

N(E_F) = 7.3 states/eV/f.u.
Crystal system = tetragonal
Total DFT energy (no corrections) = -3.480 eV per atom
Magnetization = 0.153 μB per formula unit
Formation energy (no corrections) = 2.695 eV per atom

***

[10]
MoI2NCl | PBE | relaxed

Cell lengths 6.4833, 6.4833, 3.4001 Å; angles 90.00, 90.00, 90.00 degrees
Positions (direct):
Mo  0.0000  0.0000  0.0000
I  0.0000  0.5000  0.5000
I  0.5000  0.0000  0.5000
N  0.5000  0.5000  0.0000
Cl  0.5000  0.5000  0.5000

N(E_F) = 4.5 states/eV/f.u.
Crystal system = tetragonal
Total DFT energy (no corrections) = -3.083 eV per atom
Magnetization = 4.968 μB per formula unit
Formation energy (no corrections) = 1.738 eV per atom

***

[11]
MoIN2Cl | PBE | relaxed

Cell lengths 3.9732, 3.9732, 5.8004 Å; angles 90.00, 90.00, 90.00 degrees
Positions (direct):
Mo  0.0000  0.0000  0.0000
I  0.0000  0.0000  0.5000
N  0.0000  0.5000  0.0000
N  0.5000  0.0000  0.0000
Cl  0.5000  0.5000  0.5000

N(E_F) = 3.5 states/eV/f.u.
Crystal system = tetragonal
Total DFT energy (no corrections) = -5.524 eV per atom
Magnetization = 0.100 μB per formula unit
Formation energy (no corrections) = 0.651 eV per atom

***

[12]
MoI2NCl | PBE | relaxed

Cell lengths 5.5791, 5.5791, 3.8210 Å; angles 90.00, 90.00, 90.00 degrees
Positions (direct):
Mo  0.0000  0.0000  0.0000
I  0.0000  0.5000  0.0000
I  0.5000  0.0000  0.0000
N  0.0000  0.0000  0.5000
Cl  0.5000  0.5000  0.5000

N(E_F) = 4.7 states/eV/f.u.
Crystal system = tetragonal
Total DFT energy (no corrections) = -4.545 eV per atom
Magnetization = 0.000 μB per formula unit
Formation energy (no corrections) = 0.276 eV per atom